Entry 1:
Below is TaCdAg2 at its PBEsol-relaxed geometry, with properties calculated at the SCAN level.

Summary:
Formation energy from the elements   378 meV/atom

Structure (POSCAR):
```
TaCdAg2
1.0
2.821 0.000 0.000
0.000 5.000 0.000
0.000 0.000 5.000
Cd Ta Ag
1 1 2
direct
0.500 0.500 0.500
0.500 0.000 0.000
0.000 0.000 0.500
0.000 0.500 0.000
```

***

Entry 2:
Below is TaCdAg2 at its PBEsol-relaxed geometry, with properties calculated at the SCAN level.

Summary:
Formation energy from the elements   378 meV/atom

Structure (POSCAR):
```
TaCdAg2
1.0
2.695 0.032 0.000
-0.742 5.462 0.000
-0.976 -2.747 4.803
Ag Cd Ta
2 1 1
direct
0.500 0.500 0.500
0.000 0.000 0.500
0.500 0.000 0.000
0.000 0.500 0.000
```

***

Entry 3:
Below is TbCdAg2 at its PBEsol-relaxed geometry, with properties calculated at the SCAN level.

Summary:
Formation energy from the elements   -313 meV/atom

Structure (POSCAR):
```
TbCdAg2
1.0
4.845 0.000 0.000
2.423 4.196 0.000
2.423 1.399 3.956
Tb Ag Cd
1 2 1
direct
0.000 0.000 0.000
0.750 0.750 0.750
0.250 0.250 0.250
0.500 0.500 0.500
```